No. 1
The following is a DFT calculation (GGA-PBE) of SbOs2Au after structural relaxation.

Lattice parameters (Å, degrees): 2.9282 2.9282 28.4472 90.00 90.00 120.00
Last column: nearest neighbours and their distance in Å.
Space group R3m (No. 160, hexagonal axes)
Unique sites:
Sb 0.0000 0.0000 0.0000 (multiplicity 3)  3 Os 2.87, 6 Sb 2.93
Os 0.0000 0.0000 0.4851 (multiplicity 3)  9 Os 2.62-2.93, 3 Au 2.92
Os 0.0000 0.0000 0.7482 (multiplicity 3)  9 Os 2.62-2.93, 3 Sb 2.87
Au 0.0000 0.0000 0.2355 (multiplicity 3)  3 Os 2.92, 6 Au 2.93, 3 Sb 3.26

total DFT energy (no corrections)	-6.91	eV per atom
size of the total moment	0.000	μB per atom

---

No. 2
The following is a DFT calculation (GGA-PBE) of CdTeIr2Au after structural relaxation.

Lattice parameters (Å, degrees): 4.9935 4.9935 4.9621 90.00 90.00 90.00
Last column: nearest neighbours and their distance in Å.
Space group P4/mmm (No. 123)
Unique sites:
Cd 0.0000 0.0000 0.0000 (multiplicity 1)  2 Au 2.48
Te 0.5000 0.5000 0.0000 (multiplicity 1)  8 Ir 3.52, 4 Cd 3.53
Ir 0.0000 0.5000 0.5000 (multiplicity 2)  2 Au 2.50
Au 0.0000 0.0000 0.5000 (multiplicity 1)  2 Cd 2.48, 4 Ir 2.50

total DFT energy (no corrections)	-3.58	eV per atom
E above lowest polymorph	0.000	eV/atom
size of the total moment	0.213	μB per atom

---

No. 3
The following is a DFT calculation (GGA-PBE) of Pt8W after structural relaxation.

Lattice parameters (Å, degrees): 8.4302 8.4302 3.9630 90.00 90.00 90.00
Last column: nearest neighbours and their distance in Å.
Space group I4/mmm (No. 139)
Unique sites:
Pt 0.0000 0.3285 0.0000 (multiplicity 8)  1 W 2.77, 11 Pt 2.79-2.89
Pt 0.1610 0.1610 0.5000 (multiplicity 8)  10 Pt 2.71-2.90, 2 W 2.76
W 0.0000 0.0000 0.0000 (multiplicity 2)  12 Pt 2.76-2.77

total DFT energy (no corrections)	-7.02	eV per atom
size of the total moment	0.000	μB per atom
formation enthalpy at 0 K	-0.215	eV/atom